No. 1
The following is a DFT calculation (PBEsol) of a relaxed structure of BaMo2Se2O11.

Structure (POSCAR):
```
BaMo2Se2O11
1.0
7.8050 0.0000 0.0000
0.0000 7.9195 0.0000
0.0000 -3.9598 7.9502
Se Ba O Mo
4 2 22 4
direct
0.1888 0.8744 0.5831 Se
0.6888 0.7087 0.5831 Se
0.6888 0.1256 0.4169 Se
0.1888 0.2913 0.4169 Se
0.8281 0.7729 0.0000 Ba
0.3281 0.2271 0.0000 Ba
0.8165 0.5115 0.4674 O
0.6036 0.9113 0.2804 O
0.3686 0.4325 0.8190 O
0.1263 0.6738 0.8250 O
0.8686 0.5675 0.1810 O
0.6263 0.1512 0.8250 O
0.8452 0.8507 0.7147 O
0.3452 0.8641 0.7147 O
0.3452 0.1493 0.2853 O
0.8686 0.3865 0.8190 O
0.8165 0.0441 0.5326 O
0.1036 0.3690 0.2804 O
0.3686 0.6135 0.1810 O
0.4203 0.8160 0.0000 O
0.6263 0.3262 0.1750 O
0.9203 0.1840 0.0000 O
0.1036 0.0887 0.7196 O
0.1263 0.8488 0.1750 O
0.6036 0.6310 0.7196 O
0.3165 0.4885 0.5326 O
0.8452 0.1359 0.2853 O
0.3165 0.9559 0.4674 O
0.3406 0.6271 0.7849 Mo
0.3406 0.8422 0.2151 Mo
0.8406 0.1578 0.7849 Mo
0.8406 0.3729 0.2151 Mo
```

## Properties
D(E_F)   0.000 states/eV/cell
Uncorrected formation energy   -1.7255 eV per atom
Size of the total moment   0.00 Bohr magnetons per cell
Energy   -7.421 eV/atom
Density   4.481 g cm⁻³
Space-group type   Cmc2_1 (36)

No. 2
The following is a DFT calculation (PBEsol) of a relaxed structure of Ba2SmMoO6.

Structure (POSCAR):
```
Ba2SmMoO6
1.0
5.9774 0.0000 0.0000
2.9887 5.1766 0.0000
2.9887 1.7255 4.8805
Mo Sm O Ba
1 1 6 2
direct
0.5000 0.5000 0.5000 Mo
0.0000 0.0000 0.0000 Sm
0.2690 0.2690 0.7310 O
0.2690 0.7310 0.2690 O
0.7310 0.7310 0.2690 O
0.2690 0.7310 0.7310 O
0.7310 0.2690 0.7310 O
0.7310 0.2690 0.2690 O
0.7500 0.7500 0.7500 Ba
0.2500 0.2500 0.2500 Ba
```

## Properties
D(E_F)   2.992 states/eV/cell
Uncorrected formation energy   -2.7914 eV per atom
Size of the total moment   0.00 Bohr magnetons per cell
Energy   -8.057 eV/atom
Density   6.784 g cm⁻³
Space-group type   Fm-3m (225)

No. 3
The following is a DFT calculation (PBEsol) of a relaxed structure of Ba5Ti4MoO15.

Structure (POSCAR):
```
Ba5Ti4MoO15
1.0
-1.4690 1.7289 3.2832
3.5139 -3.0632 3.1853
7.9971 11.6941 -2.5800
O Ba Ti Mo
15 5 4 1
direct
0.5000 0.6000 0.2000 O
0.0000 0.3987 0.3000 O
0.5000 0.4000 0.8000 O
0.0000 0.9013 0.3000 O
0.0000 0.8001 0.0993 O
0.5000 0.7998 0.5997 O
0.0000 0.7008 0.9007 O
0.0000 0.5000 0.5000 O
0.0000 0.1999 0.9007 O
0.0000 0.0000 0.5000 O
0.5000 0.0000 0.0000 O
0.0000 0.2992 0.0993 O
0.0000 0.6013 0.7000 O
0.0000 0.0987 0.7000 O
0.5000 0.2002 0.4003 O
0.5000 0.8982 0.7964 Ba
0.5000 0.5000 0.0000 Ba
0.5000 0.2998 0.5996 Ba
0.5000 0.1018 0.2036 Ba
0.5000 0.7002 0.4004 Ba
0.0000 0.7997 0.5994 Ti
0.0000 0.2003 0.4006 Ti
0.0000 0.6006 0.2013 Ti
0.0000 0.3994 0.7987 Ti
0.0000 0.0000 0.0000 Mo
```

## Properties
D(E_F)   3.809 states/eV/cell
Uncorrected formation energy   -3.0039 eV per atom
Size of the total moment   0.00 Bohr magnetons per cell
Energy   -8.386 eV/atom
Density   6.336 g cm⁻³
Space-group type   Cmmm (65)

No. 4
The following is a DFT calculation (PBEsol) of a relaxed structure of Ba2TmMoO6.

Structure (POSCAR):
```
Ba2TmMoO6
1.0
5.8663 0.0000 0.0000
2.9332 5.0804 0.0000
2.9332 1.6935 4.7898
O Mo Tm Ba
6 1 1 2
direct
0.2638 0.2638 0.7362 O
0.7362 0.2638 0.2638 O
0.7362 0.7362 0.2638 O
0.7362 0.2638 0.7362 O
0.2638 0.7362 0.2638 O
0.2638 0.7362 0.7362 O
0.5000 0.5000 0.5000 Mo
0.0000 0.0000 0.0000 Tm
0.7500 0.7500 0.7500 Ba
0.2500 0.2500 0.2500 Ba
```

## Properties
D(E_F)   3.063 states/eV/cell
Uncorrected formation energy   -2.8924 eV per atom
Size of the total moment   0.00 Bohr magnetons per cell
Energy   -8.139 eV/atom
Density   7.393 g cm⁻³
Space-group type   Fm-3m (225)

No. 5
The following is a DFT calculation (PBEsol) of a relaxed structure of BaY2Mo4O16.

Structure (POSCAR):
```
BaY2Mo4O16
1.0
5.1755 0.0000 0.0366
2.5877 6.2205 0.0183
0.5998 0.0000 19.3754
Mo Y O Ba
8 4 32 2
direct
0.0735 0.8810 0.9088 Mo
0.7505 0.4899 0.8537 Mo
0.0455 0.8810 0.5912 Mo
0.9545 0.1190 0.4088 Mo
0.2495 0.5101 0.1463 Mo
0.2404 0.5101 0.3537 Mo
0.7596 0.4899 0.6463 Mo
0.9265 0.1190 0.0912 Mo
0.6504 0.7046 0.0317 Y
0.3550 0.2954 0.5317 Y
0.6450 0.7046 0.4683 Y
0.3496 0.2954 0.9683 Y
0.7893 0.1657 0.3317 O
0.9951 0.5993 0.2108 O
0.3326 0.6578 0.9563 O
0.7604 0.9661 0.9652 O
0.5833 0.3028 0.8671 O
0.1756 0.1015 0.8973 O
0.2297 0.2649 0.3295 O
0.0096 0.6578 0.5437 O
0.2396 0.0339 0.0348 O
0.5645 0.5246 0.5664 O
0.5055 0.2649 0.1705 O
0.8244 0.8985 0.1027 O
0.2770 0.8985 0.3973 O
0.9904 0.3422 0.4563 O
0.6674 0.3422 0.0437 O
0.8861 0.6972 0.3671 O
0.1139 0.3028 0.6329 O
0.0450 0.1657 0.1683 O
0.4945 0.7351 0.8295 O
0.9550 0.8343 0.8317 O
0.7265 0.0339 0.4652 O
0.0892 0.4754 0.0664 O
0.5944 0.4007 0.7108 O
0.0049 0.4007 0.7892 O
0.4056 0.5993 0.2892 O
0.2107 0.8343 0.6683 O
0.7703 0.7351 0.6705 O
0.7230 0.1015 0.6027 O
0.9108 0.5246 0.9336 O
0.4355 0.4754 0.4336 O
0.2735 0.9661 0.5348 O
0.4167 0.6972 0.1329 O
0.4651 0.0697 0.7500 Ba
0.5349 0.9303 0.2500 Ba
```

## Properties
D(E_F)   0.000 states/eV/cell
Uncorrected formation energy   -2.5508 eV per atom
Size of the total moment   0.00 Bohr magnetons per cell
Energy   -8.936 eV/atom
Density   5.085 g cm⁻³
Space-group type   C2/c (15)

No. 6
The following is a DFT calculation (PBEsol) of a relaxed structure of Ba2YMoO6.

Structure (POSCAR):
```
Ba2YMoO6
1.0
-3.9183 -2.4662 -3.6641
-4.8917 -2.5039 2.1593
-5.2520 2.5564 -0.8614
O Ba Y Mo
6 2 1 1
direct
0.2344 0.2344 0.7656 O
0.7656 0.2344 0.7656 O
0.2344 0.7656 0.2344 O
0.2344 0.7656 0.7656 O
0.7656 0.7656 0.2344 O
0.7656 0.2344 0.2344 O
0.7500 0.7500 0.7500 Ba
0.2500 0.2500 0.2500 Ba
0.5000 0.5000 0.5000 Y
0.0000 0.0000 0.0000 Mo
```

## Properties
D(E_F)   3.094 states/eV/cell
Uncorrected formation energy   -2.8593 eV per atom
Size of the total moment   0.00 Bohr magnetons per cell
Energy   -8.298 eV/atom
Density   6.338 g cm⁻³
Space-group type   Fm-3m (225)

No. 7
The following is a DFT calculation (PBEsol) of a relaxed structure of BaMoOs2.

Structure (POSCAR):
```
BaMoOs2
1.0
-2.4724 0.6059 -1.7702
1.7378 -0.3434 -2.5447
-1.7882 -7.7924 -0.1696
Os Ba Mo
2 1 1
direct
0.0000 0.0000 0.3185 Os
0.0000 0.0000 0.6815 Os
0.5000 0.5000 0.0000 Ba
0.5000 0.5000 0.5000 Mo
```

## Properties
D(E_F)   4.721 states/eV/cell
Energy of formation   0.64 eV/atom
Size of the total moment   0.00 Bohr magnetons per cell
Energy   -8.949 eV/atom
Relative energy among the computed polymorphs   0.0 kJ/mol of formula units
Density   13.257 g cm⁻³
Space-group type   P4/mmm (123)

No. 8
The following is a DFT calculation (PBEsol) of a relaxed structure of BaMo3Os.

Structure (POSCAR):
```
BaMo3Os
1.0
4.7614 0.0000 0.0000
0.0000 4.7614 0.0000
0.0000 0.0000 4.7614
Os Mo Ba
1 3 1
direct
0.5000 0.5000 0.5000 Os
0.5000 0.0000 0.0000 Mo
0.0000 0.0000 0.5000 Mo
0.0000 0.5000 0.0000 Mo
0.0000 0.0000 0.0000 Ba
```

## Properties
D(E_F)   6.800 states/eV/cell
Energy of formation   3.65 eV/atom
Size of the total moment   0.85 Bohr magnetons per cell
Energy   -6.281 eV/atom
Density   9.467 g cm⁻³
Space-group type   Pm-3m (221)

No. 9
The following is a DFT calculation (PBEsol) of a relaxed structure of BaMo2Os.

Structure (POSCAR):
```
BaMo2Os
1.0
2.8906 0.0046 0.0000
-0.0713 2.8898 0.0000
0.0000 0.0000 9.2972
Mo Ba Os
2 1 1
direct
0.0000 0.0000 0.3115 Mo
0.0000 0.0000 0.6885 Mo
0.5000 0.5000 0.0000 Ba
0.5000 0.5000 0.5000 Os
```

## Properties
D(E_F)   4.401 states/eV/cell
Energy of formation   0.84 eV/atom
Size of the total moment   0.00 Bohr magnetons per cell
Energy   -8.631 eV/atom
Relative energy among the computed polymorphs   0.0 kJ/mol of formula units
Density   11.106 g cm⁻³
Space-group type   Cmmm (65)

No. 10
The following is a DFT calculation (PBEsol) of a relaxed structure of BaMo2Os.

Structure (POSCAR):
```
BaMo2Os
1.0
-2.5111 0.3659 -1.7497
-2.7671 -0.3111 3.9064
0.2871 4.7532 0.5819
Os Mo Ba
1 2 1
direct
0.5000 0.5000 0.5000 Os
0.0000 0.5000 0.0000 Mo
0.0000 0.0000 0.5000 Mo
0.5000 0.0000 0.0000 Ba
```

## Properties
D(E_F)   4.096 states/eV/cell
Energy of formation   1.37 eV/atom
Size of the total moment   0.00 Bohr magnetons per cell
Energy   -8.104 eV/atom
Relative energy among the computed polymorphs   203.3 kJ/mol of formula units
Density   12.159 g cm⁻³
Space-group type   P4/mmm (123)

No. 11
The following is a DFT calculation (PBEsol) of a relaxed structure of BaMoOs2.

Structure (POSCAR):
```
BaMoOs2
1.0
-0.7244 -2.7424 -0.2884
3.2119 -0.6744 -1.6545
3.2029 -1.5670 6.8565
Mo Ba Os
1 1 2
direct
0.5000 0.5000 0.8347 Mo
0.0000 0.0000 0.4887 Ba
0.5000 0.5000 0.1647 Os
0.0000 0.0000 0.0119 Os
```

## Properties
D(E_F)   4.535 states/eV/cell
Energy of formation   0.81 eV/atom
Size of the total moment   0.00 Bohr magnetons per cell
Energy   -8.782 eV/atom
Relative energy among the computed polymorphs   64.4 kJ/mol of formula units
Density   12.584 g cm⁻³
Space-group type   Pmm2 (25)

No. 12
The following is a DFT calculation (PBEsol) of a relaxed structure of Ba2YMoOs.

Structure (POSCAR):
```
Ba2YMoOs
1.0
4.7052 0.0000 0.0000
0.0000 5.7507 0.0000
0.0000 0.0000 5.7507
Mo Y Os Ba
1 1 1 2
direct
0.0000 0.0000 0.0000 Mo
0.5000 0.5000 0.5000 Y
0.5000 0.0000 0.0000 Os
0.0000 0.0000 0.5000 Ba
0.0000 0.5000 0.0000 Ba
```

## Properties
D(E_F)   7.337 states/eV/cell
Energy of formation   1.17 eV/atom
Size of the total moment   0.00 Bohr magnetons per cell
Energy   -5.853 eV/atom
Density   6.934 g cm⁻³
Space-group type   P4/mmm (123)

- Which of these has the highest size of the total moment?
  BaMo3Os

- What is the formula in the eleventh record?
  BaMoOs2

Copy entry 1 word for word.
The following is a DFT calculation (PBEsol) of a relaxed structure of BaMo2Se2O11.

Structure (POSCAR):
```
BaMo2Se2O11
1.0
7.8050 0.0000 0.0000
0.0000 7.9195 0.0000
0.0000 -3.9598 7.9502
Se Ba O Mo
4 2 22 4
direct
0.1888 0.8744 0.5831 Se
0.6888 0.7087 0.5831 Se
0.6888 0.1256 0.4169 Se
0.1888 0.2913 0.4169 Se
0.8281 0.7729 0.0000 Ba
0.3281 0.2271 0.0000 Ba
0.8165 0.5115 0.4674 O
0.6036 0.9113 0.2804 O
0.3686 0.4325 0.8190 O
0.1263 0.6738 0.8250 O
0.8686 0.5675 0.1810 O
0.6263 0.1512 0.8250 O
0.8452 0.8507 0.7147 O
0.3452 0.8641 0.7147 O
0.3452 0.1493 0.2853 O
0.8686 0.3865 0.8190 O
0.8165 0.0441 0.5326 O
0.1036 0.3690 0.2804 O
0.3686 0.6135 0.1810 O
0.4203 0.8160 0.0000 O
0.6263 0.3262 0.1750 O
0.9203 0.1840 0.0000 O
0.1036 0.0887 0.7196 O
0.1263 0.8488 0.1750 O
0.6036 0.6310 0.7196 O
0.3165 0.4885 0.5326 O
0.8452 0.1359 0.2853 O
0.3165 0.9559 0.4674 O
0.3406 0.6271 0.7849 Mo
0.3406 0.8422 0.2151 Mo
0.8406 0.1578 0.7849 Mo
0.8406 0.3729 0.2151 Mo
```

## Properties
D(E_F)   0.000 states/eV/cell
Uncorrected formation energy   -1.7255 eV per atom
Size of the total moment   0.00 Bohr magnetons per cell
Energy   -7.421 eV/atom
Density   4.481 g cm⁻³
Space-group type   Cmc2_1 (36)

- The highest size of the total moment belongs to which entry?
  BaMo3Os